Compound: Hf8Nb2Sn
Source: Alexandria via LeMat-Bulk
Functional: PBE
Structure: optimized geometry

Cell: 5.168 7.798 7.798 Å, 120.61 101.72 101.72°
Fractional positions:
Hf 0.145 0.329 0.100
Hf 0.855 0.900 0.671
Hf 0.500 0.219 0.781
Hf 0.145 0.100 0.329
Hf 0.855 0.671 0.900
Hf 0.500 0.781 0.219
Hf 0.288 0.592 0.592
Hf 0.712 0.408 0.408
Nb 0.000 0.298 0.702
Nb 0.000 0.702 0.298
Sn 0.500 0.000 0.000

Results
As for the space group: C2/m (12). For the formation energy, the calculation gives 0.133 eV/atom. The calculation puts the total energy at -9.300 eV/atom. For the density of states at the Fermi level, the calculation gives 10.9 states/eV/f.u.

***

Compound: ZrTi2Ga
Source: Alexandria via LeMat-Bulk
Functional: PBE
Structure: optimized geometry

Cell: 4.807 3.152 10.099 Å, 108.19 87.19 89.98°
Fractional positions:
Ti 0.290 0.606 0.106
Ti 0.198 0.876 0.876
Ti 0.710 0.394 0.894
Ti 0.802 0.124 0.124
Zr 0.759 0.892 0.391
Zr 0.241 0.108 0.609
Ga 0.736 0.661 0.661
Ga 0.264 0.339 0.339

Results
As for the space group: P2/m (10). For the formation energy, the calculation gives -0.276 eV/atom. The calculation puts the total energy at -7.118 eV/atom. For the density of states at the Fermi level, the calculation gives 4.8 states/eV/f.u.

***

Repeat the second record exactly.
Compound: ZrTi2Ga
Source: Alexandria via LeMat-Bulk
Functional: PBE
Structure: optimized geometry

Cell: 4.807 3.152 10.099 Å, 108.19 87.19 89.98°
Fractional positions:
Ti 0.290 0.606 0.106
Ti 0.198 0.876 0.876
Ti 0.710 0.394 0.894
Ti 0.802 0.124 0.124
Zr 0.759 0.892 0.391
Zr 0.241 0.108 0.609
Ga 0.736 0.661 0.661
Ga 0.264 0.339 0.339

Results
As for the space group: P2/m (10). For the formation energy, the calculation gives -0.276 eV/atom. The calculation puts the total energy at -7.118 eV/atom. For the density of states at the Fermi level, the calculation gives 4.8 states/eV/f.u.

***

- Number 1 is which compound?
  Hf8Nb2Sn

***

- What is the total energy in the second record?
  -7.118 eV/atom

***

- Look up the total energy of the first one.
  -9.300 eV/atom